# 1
Ta2RhSe: optimized geometry, PBE.

As for the formation energy (no corrections): -0.041 eV per atom. For the size of the total moment, the calculation gives 0.0 μB/f.u.

The structure belongs to space group Pmmm (No. 47); the cell edges are 3.323, 4.272 and 4.738 Å and the angles 90.00°, 90.00° and 90.00°. The asymmetric unit holds Ta at (0.000, 0.000, 0.000), Ta at (0.500, 0.000, 0.500), Rh at (0.000, 0.500, 0.500) and Se at (0.500, 0.500, 0.000).

# 2
TaRhSe3: optimized geometry, PBE.

As for the formation energy (no corrections): 0.777 eV per atom. For the size of the total moment, the calculation gives 0.0 μB/f.u. The value obtained for the polymorph energy (0 for the lowest one) is 1319.8 meV/atom.

The structure belongs to space group Pm-3m (No. 221); the cell edges are 4.767, 4.767 and 4.767 Å and the angles 90.00°, 90.00° and 90.00°. The asymmetric unit holds Ta at (0.000, 0.000, 0.000), Rh at (0.500, 0.500, 0.500) and Se at (0.000, 0.500, 0.500).

# 3
Ta2RhSe: optimized geometry, PBE.

As for the formation energy (no corrections): -0.302 eV per atom. For the size of the total moment, the calculation gives 0.0 μB/f.u.

The structure belongs to space group P4mm (No. 99); the cell edges are 3.284, 3.284 and 6.444 Å and the angles 90.00°, 90.00° and 90.00°. The asymmetric unit holds Ta at (0.000, 0.000, 0.000), Ta at (0.500, 0.500, 0.294), Rh at (0.000, 0.000, 0.483) and Se at (0.500, 0.500, 0.785).

# 4
Ta2RhSe: optimized geometry, PBE.

As for the formation energy (no corrections): 0.043 eV per atom. For the size of the total moment, the calculation gives 0.0 μB/f.u.

The structure belongs to space group I-4m2 (No. 119); the cell edges are 3.825, 3.825 and 9.190 Å and the angles 90.00°, 90.00° and 90.00°. The asymmetric unit holds Ta at (0.000, 0.000, 0.000), Ta at (0.000, 0.500, 0.250), Rh at (0.000, 0.500, 0.750) and Se at (0.000, 0.000, 0.500).

# 5
TaRh2Se: optimized geometry, PBE.

As for the formation energy (no corrections): -0.348 eV per atom. For the size of the total moment, the calculation gives 0.0 μB/f.u.

The structure belongs to space group Pmmm (No. 47); the cell edges are 3.399, 3.428 and 5.525 Å and the angles 90.00°, 90.00° and 90.00°. The asymmetric unit holds Ta at (0.000, 0.000, 0.000), Rh at (0.500, 0.500, 0.239) and Se at (0.000, 0.000, 0.500).

# 6
Ta2RhSe: optimized geometry, PBE.

As for the formation energy (no corrections): -0.274 eV per atom. For the size of the total moment, the calculation gives 0.0 μB/f.u.

The structure belongs to space group P4/mmm (No. 123); the cell edges are 3.016, 3.016 and 7.196 Å and the angles 90.00°, 90.00° and 90.00°. The asymmetric unit holds Ta at (0.000, 0.000, 0.243), Rh at (0.500, 0.500, 0.500) and Se at (0.500, 0.500, 0.000).

# 7
TaRh2Se: optimized geometry, PBE.

As for the formation energy (no corrections): -0.192 eV per atom. For the size of the total moment, the calculation gives 0.0 μB/f.u.

The structure belongs to space group Imm2 (No. 44); the cell edges are 3.185, 4.439 and 8.890 Å and the angles 90.00°, 90.00° and 90.00°. The asymmetric unit holds Ta at (0.000, 0.000, 0.000), Rh at (0.000, 0.000, 0.547), Rh at (0.000, 0.500, 0.770) and Se at (0.000, 0.500, 0.266).

# 8
TaRh2Se: optimized geometry, PBE.

As for the formation energy (no corrections): -0.135 eV per atom. For the size of the total moment, the calculation gives 0.0 μB/f.u.

The structure belongs to space group R-3m (No. 166, hexagonal axes); the cell edges are 2.9547, 2.9547 and 25.5252 Å and the angles 90.00°, 90.00° and 120.00°. The asymmetric unit holds Ta at (0.0000, 0.0000, 0.0000), Rh at (0.0000, 0.0000, 0.2483) and Se at (0.0000, 0.0000, 0.5000).

# 9
TaRh2Se: optimized geometry, PBE.

As for the formation energy (no corrections): -0.092 eV per atom. For the size of the total moment, the calculation gives 0.0 μB/f.u.

The structure belongs to space group I-4m2 (No. 119); the cell edges are 3.914, 3.914 and 8.231 Å and the angles 90.00°, 90.00° and 90.00°. The asymmetric unit holds Ta at (0.000, 0.000, 0.000), Rh at (0.000, 0.000, 0.500), Rh at (0.000, 0.500, 0.750) and Se at (0.000, 0.500, 0.250).

# 10
Ta2RhSe: optimized geometry, PBE.

As for the formation energy (no corrections): -0.166 eV per atom. For the size of the total moment, the calculation gives 0.0 μB/f.u.

The structure belongs to space group Imm2 (No. 44); the cell edges are 3.109, 4.549 and 9.353 Å and the angles 90.00°, 90.00° and 90.00°. The asymmetric unit holds Ta at (0.000, 0.000, 0.000), Ta at (0.000, 0.500, 0.218), Rh at (0.000, 0.500, 0.760) and Se at (0.000, 0.000, 0.487).

# 11
TaRh2Se: optimized geometry, PBE.

As for the formation energy (no corrections): -0.253 eV per atom. For the size of the total moment, the calculation gives 0.0 μB/f.u.

The structure belongs to space group Immm (No. 71); the cell edges are 3.233, 4.385 and 8.721 Å and the angles 90.00°, 90.00° and 90.00°. The asymmetric unit holds Ta at (0.000, 0.000, 0.000), Rh at (0.000, 0.500, 0.230) and Se at (0.000, 0.000, 0.500).

# 12
Ta2RhSe: optimized geometry, PBE.

As for the formation energy (no corrections): -0.304 eV per atom. For the size of the total moment, the calculation gives 0.0 μB/f.u.

The structure belongs to space group Pm (No. 6); the cell edges are 3.240, 3.215 and 7.213 Å and the angles 90.00°, 102.92° and 90.00°. The asymmetric unit holds Ta at (0.000, 0.000, 0.000), Ta at (0.366, 0.500, 0.732), Rh at (0.777, 0.000, 0.552) and Se at (0.606, 0.500, 0.214).

# 13
TaRhSe3: optimized geometry, PBE.

As for the formation energy (no corrections): 0.456 eV per atom. For the size of the total moment, the calculation gives 2.0 μB/f.u. The value obtained for the polymorph energy (0 for the lowest one) is 999.1 meV/atom.

The structure belongs to space group Pm-3m (No. 221); the cell edges are 4.993, 4.993 and 4.993 Å and the angles 90.00°, 90.00° and 90.00°. The asymmetric unit holds Ta at (0.000, 0.000, 0.000), Rh at (0.500, 0.500, 0.500) and Se at (0.000, 0.000, 0.500).

# 14
Ta2RhSe: optimized geometry, PBE.

As for the formation energy (no corrections): 0.081 eV per atom. For the size of the total moment, the calculation gives 0.0 μB/f.u.

The structure belongs to space group I-42d (No. 122); the cell edges are 7.051, 7.051 and 5.756 Å and the angles 90.00°, 90.00° and 90.00°. The asymmetric unit holds Ta at (0.247, 0.250, 0.125), Rh at (0.000, 0.000, 0.500) and Se at (0.000, 0.000, 0.000).